Entry one
Density functional theory data (PBE) for IrRh3S after structural relaxation.

Cell lengths 4.3231, 4.3231, 4.3231 Å; angles 90.00, 90.00, 90.00 degrees
Closest atoms and distances in Å follow each position.
Fractional positions:
Ir 0.0000 0.0000 0.0000  12 Rh 3.06
Rh 0.0000 0.5000 0.5000  2 S 2.16
Rh 0.5000 0.0000 0.5000  2 S 2.16
Rh 0.5000 0.5000 0.0000  2 S 2.16
S 0.5000 0.5000 0.5000  6 Rh 2.16

Values from the calculation:
Calculated volume   16.159 Å³/atom
Crystal system   cubic

***

Entry two
Density functional theory data (PBE) for IrRh3S after structural relaxation.

Cell lengths 4.7215, 4.7215, 4.7215 Å; angles 90.00, 90.00, 90.00 degrees
Closest atoms and distances in Å follow each position.
Fractional positions:
Ir 0.0000 0.0000 0.0000  6 Rh 2.36
Rh 0.0000 0.0000 0.5000  2 Ir 2.36
Rh 0.0000 0.5000 0.0000  2 Ir 2.36
Rh 0.5000 0.0000 0.0000  2 Ir 2.36
S 0.5000 0.5000 0.5000  12 Rh 3.34

Values from the calculation:
Calculated volume   21.051 Å³/atom
Crystal system   cubic

***

Going by the computed energies, the most stable comes first: entry one, entry two.

***

Entry one
Density functional theory data (PBE) for IrRh2S after structural relaxation.

Cell lengths 7.0754, 7.0754, 7.0754 Å; angles 138.51, 138.51, 60.13 degrees
Closest atoms and distances in Å follow each position.
Fractional positions:
Ir 0.0000 0.0000 0.0000  4 Rh 2.46
Ir 0.7500 0.2500 0.5000  4 Rh 2.46
Rh 0.1655 0.6250 0.0405  2 S 2.24, 2 Ir 2.46
Rh 0.3750 0.4155 0.5405  2 S 2.24, 2 Ir 2.46
Rh 0.5845 0.1250 0.9595  2 S 2.24, 2 Ir 2.46
Rh 0.8750 0.8345 0.4595  2 S 2.24, 2 Ir 2.46
S 0.2500 0.7500 0.5000  4 Rh 2.24
S 0.5000 0.5000 0.0000  4 Rh 2.24

Values from the calculation:
Calculated volume   19.234 Å³/atom
Crystal system   tetragonal

***

Entry two
Density functional theory data (PBE) for IrRh2S after structural relaxation.

Cell lengths 4.3497, 4.3497, 4.3497 Å; angles 60.00, 60.00, 60.00 degrees
Closest atoms and distances in Å follow each position.
Fractional positions:
Ir 0.0000 0.0000 0.0000  8 Rh 2.66
Rh 0.2500 0.2500 0.2500  4 S 2.66, 4 Ir 2.66
Rh 0.7500 0.7500 0.7500  4 S 2.66, 4 Ir 2.66
S 0.5000 0.5000 0.5000  8 Rh 2.66

Values from the calculation:
Calculated volume   14.548 Å³/atom
Crystal system   cubic

***

Going by the computed energies, the most stable comes first: entry one, entry two.

***

Entry one
Density functional theory data (PBE) for ScIrRh after structural relaxation.

Cell lengths 6.2454, 6.2454, 6.2454 Å; angles 153.59, 153.59, 37.70 degrees
Closest atoms and distances in Å follow each position.
Fractional positions:
Sc 0.0000 0.0000 0.0000  4 Ir 2.84, 4 Sc 2.85, 4 Rh 2.87
Ir 0.3314 0.3314 0.0000  4 Rh 2.76, 4 Sc 2.84, 4 Ir 2.85
Rh 0.6724 0.6724 0.0000  4 Ir 2.76, 4 Rh 2.85, 4 Sc 2.87

Values from the calculation:
Calculated volume   16.045 Å³/atom
Crystal system   tetragonal

***

Entry two
Density functional theory data (PBE) for ScIrRh after structural relaxation.

Cell lengths 4.3121, 4.3121, 4.3121 Å; angles 60.00, 60.00, 60.00 degrees
Closest atoms and distances in Å follow each position.
Fractional positions:
Sc 0.0000 0.0000 0.0000  4 Rh 2.64
Ir 0.5000 0.5000 0.5000  4 Rh 2.64
Rh 0.2500 0.2500 0.2500  4 Ir 2.64, 4 Sc 2.64

Values from the calculation:
Calculated volume   18.898 Å³/atom
Crystal system   cubic

***

Entry three
Density functional theory data (PBE) for ScIrRh after structural relaxation.

Cell lengths 4.4740, 4.4740, 5.4638 Å; angles 90.00, 90.00, 120.00 degrees
Closest atoms and distances in Å follow each position.
Fractional positions:
Sc 0.3333 0.6667 0.2500  5 Rh 2.58-2.73
Sc 0.6667 0.3333 0.7500  5 Rh 2.58-2.73
Ir 0.0000 0.0000 0.0000  2 Ir 2.73, 6 Sc 2.92, 6 Rh 2.92
Ir 0.0000 0.0000 0.5000  2 Ir 2.73, 6 Sc 2.92, 6 Rh 2.92
Rh 0.3333 0.6667 0.7500  5 Sc 2.58-2.73
Rh 0.6667 0.3333 0.2500  5 Sc 2.58-2.73

Values from the calculation:
Calculated volume   15.786 Å³/atom
Crystal system   hexagonal

***

Entry four
Density functional theory data (PBE) for ScIrRh after structural relaxation.

Cell lengths 4.9537, 4.9537, 4.9537 Å; angles 146.09, 134.29, 58.12 degrees
Closest atoms and distances in Å follow each position.
Fractional positions:
Sc 0.0000 0.0000 0.0000  5 Ir 2.81-2.88, 5 Rh 2.82-2.85, 2 Sc 2.89
Ir 0.6669 0.6669 0.0000  5 Rh 2.79-2.92, 5 Sc 2.81-2.88, 2 Ir 2.89
Rh 0.3296 0.3296 0.0000  5 Ir 2.79-2.92, 5 Sc 2.82-2.85, 2 Rh 2.89

Values from the calculation:
Calculated volume   16.046 Å³/atom
Crystal system   orthorhombic

***

Going by the computed energies, the most stable comes first: entry three, entry four, entry one, entry two.

***

Entry one
Density functional theory data (PBE) for ScIrRh after structural relaxation.

Cell lengths 4.4315, 4.4315, 2.8188 Å; angles 90.00, 90.00, 120.00 degrees
Closest atoms and distances in Å follow each position.
Fractional positions:
Sc 0.0000 0.0000 0.0000  3 Rh 2.62, 3 Ir 2.73, 2 Sc 2.82
Ir 0.3333 0.6667 0.3409  3 Sc 2.73, 2 Ir 2.82, 6 Rh 2.87-2.97
Rh 0.6667 0.3333 0.8029  3 Sc 2.62, 2 Rh 2.82, 3 Ir 2.87

Values from the calculation:
Calculated volume   15.980 Å³/atom
Crystal system   trigonal

***

Entry two
Density functional theory data (PBE) for ScIrRh after structural relaxation.

Cell lengths 4.2734, 4.2734, 4.2734 Å; angles 60.00, 60.00, 60.00 degrees
Closest atoms and distances in Å follow each position.
Fractional positions:
Sc 0.0000 0.0000 0.0000  4 Rh 2.62, 4 Ir 2.62
Ir 0.7500 0.7500 0.7500  4 Sc 2.62
Rh 0.2500 0.2500 0.2500  4 Sc 2.62

Values from the calculation:
Calculated volume   18.394 Å³/atom
Crystal system   cubic

***

Going by the computed energies, the most stable comes first: entry one, entry two.

***

Entry one
Density functional theory data (PBE) for ScIrRh3 after structural relaxation.

Cell lengths 4.5297, 4.5297, 4.5297 Å; angles 90.00, 90.00, 90.00 degrees
Closest atoms and distances in Å follow each position.
Fractional positions:
Sc 0.0000 0.0000 0.0000  6 Rh 2.26
Ir 0.5000 0.5000 0.5000  12 Rh 3.20
Rh 0.0000 0.0000 0.5000  2 Sc 2.26
Rh 0.0000 0.5000 0.0000  2 Sc 2.26
Rh 0.5000 0.0000 0.0000  2 Sc 2.26

Values from the calculation:
Calculated volume   18.589 Å³/atom
Crystal system   cubic

***

Entry two
Density functional theory data (PBE) for ScIrRh3 after structural relaxation.

Cell lengths 7.3483, 7.3483, 5.5404 Å; angles 99.73, 99.73, 31.07 degrees
Closest atoms and distances in Å follow each position.
Fractional positions:
Sc 0.1070 0.1070 0.0451  9 Rh 2.68-2.88, 2 Ir 2.81, 1 Sc 2.98
Sc 0.8930 0.8930 0.9549  9 Rh 2.68-2.88, 2 Ir 2.81, 1 Sc 2.98
Ir 0.2983 0.2983 0.6406  8 Rh 2.65-2.89, 2 Ir 2.72, 2 Sc 2.81
Ir 0.7017 0.7017 0.3594  8 Rh 2.65-2.89, 2 Ir 2.72, 2 Sc 2.81
Rh 0.1018 0.1018 0.5472  3 Ir 2.73-2.74, 2 Sc 2.75-2.80, 7 Rh 2.75-2.84
Rh 0.2992 0.2992 0.1622  4 Ir 2.65-2.89, 3 Sc 2.68-2.74, 5 Rh 2.76-2.86
Rh 0.4956 0.4956 0.7412  7 Rh 2.70-2.86, 1 Ir 2.75, 4 Sc 2.83-2.88
Rh 0.5044 0.5044 0.2588  7 Rh 2.70-2.86, 1 Ir 2.75, 4 Sc 2.83-2.88
Rh 0.7008 0.7008 0.8378  4 Ir 2.65-2.89, 3 Sc 2.68-2.74, 5 Rh 2.76-2.86
Rh 0.8982 0.8982 0.4528  3 Ir 2.73-2.74, 2 Sc 2.75-2.80, 7 Rh 2.75-2.84

Values from the calculation:
Calculated volume   15.199 Å³/atom
Crystal system   monoclinic

***

Entry three
Density functional theory data (PBE) for ScIrRh3 after structural relaxation.

Cell lengths 6.3040, 6.3040, 6.3040 Å; angles 132.31, 110.38, 88.78 degrees
Closest atoms and distances in Å follow each position.
Fractional positions:
Sc 0.2503 0.0003 0.2500  5 Rh 2.69-2.89
Sc 0.7497 0.9997 0.7500  5 Rh 2.69-2.89
Ir 0.0000 0.5000 0.5000  6 Rh 2.56-2.64
Ir 0.5000 0.5000 0.0000  6 Rh 2.56-2.64
Rh 0.1776 0.0000 0.6776  5 Rh 2.55-2.68, 2 Ir 2.64
Rh 0.1776 0.5000 0.1776  5 Rh 2.55-2.68, 2 Ir 2.64
Rh 0.4515 0.7015 0.7500  2 Ir 2.56, 6 Rh 2.68-2.69, 1 Sc 2.69
Rh 0.5485 0.2985 0.2500  2 Ir 2.56, 6 Rh 2.68-2.69, 1 Sc 2.69
Rh 0.8224 0.0000 0.3224  5 Rh 2.55-2.68, 2 Ir 2.64
Rh 0.8224 0.5000 0.8224  5 Rh 2.55-2.68, 2 Ir 2.64

Values from the calculation:
Calculated volume   16.527 Å³/atom
Crystal system   orthorhombic

***

Going by the computed energies, the most stable comes first: entry two, entry three, entry one.

***

Entry one
Density functional theory data (PBE) for Sc4IrRh after structural relaxation.

Cell lengths 7.3979, 7.3979, 5.8292 Å; angles 108.35, 108.35, 110.84 degrees
Closest atoms and distances in Å follow each position.
Fractional positions:
Sc 0.0484 0.6858 0.8978  2 Ir 2.76-2.80, 2 Rh 2.79-2.82
Sc 0.2462 0.3705 0.7297  2 Rh 2.66-2.76, 2 Ir 2.68-2.88
Sc 0.3142 0.9516 0.6022  2 Ir 2.76-2.80, 2 Rh 2.79-2.82
Sc 0.3705 0.2462 0.2297  2 Rh 2.66-2.76, 2 Ir 2.68-2.88
Sc 0.6295 0.7538 0.7703  2 Rh 2.66-2.76, 2 Ir 2.68-2.88
Sc 0.6858 0.0484 0.3978  2 Ir 2.76-2.80, 2 Rh 2.79-2.82
Sc 0.7538 0.6295 0.2703  2 Rh 2.66-2.76, 2 Ir 2.68-2.88
Sc 0.9516 0.3142 0.1022  2 Ir 2.76-2.80, 2 Rh 2.79-2.82
Ir 0.3631 0.6369 0.2500  8 Sc 2.68-2.88
Ir 0.6369 0.3631 0.7500  8 Sc 2.68-2.88
Rh 0.0004 0.9996 0.2500  8 Sc 2.66-2.82, 2 Rh 2.91
Rh 0.9996 0.0004 0.7500  8 Sc 2.66-2.82, 2 Rh 2.91

Values from the calculation:
Calculated volume   20.673 Å³/atom
Crystal system   monoclinic

***

Entry two
Density functional theory data (PBE) for Sc4IrRh after structural relaxation.

Cell lengths 4.5102, 4.5102, 6.3794 Å; angles 90.00, 90.00, 90.00 degrees
Closest atoms and distances in Å follow each position.
Fractional positions:
Sc 0.0000 0.5000 0.2476  2 Ir 2.75, 2 Rh 2.77
Sc 0.0000 0.5000 0.7524  2 Ir 2.75, 2 Rh 2.77
Sc 0.5000 0.0000 0.2476  2 Ir 2.75, 2 Rh 2.77
Sc 0.5000 0.0000 0.7524  2 Ir 2.75, 2 Rh 2.77
Ir 0.0000 0.0000 0.0000  8 Sc 2.75
Rh 0.5000 0.5000 0.5000  8 Sc 2.77

Values from the calculation:
Calculated volume   21.628 Å³/atom
Crystal system   tetragonal

***

Going by the computed energies, the most stable comes first: entry one, entry two.